A plane-wave DFT calculation with PBE was carried out for Co2SiAu after structural relaxation.

Properties
The calculation puts the formation energy without anion corrections at 0.026 eV per atom. As for the total energy: -0.210 Ha/atom.

a b c (Å): 2.9518 4.3062 8.1923
angles (deg): 90.00 90.00 90.00
Closest atoms and distances in Å follow each position.
Space group Immm (No. 71)
One atom of each set of equivalent atoms:
Co  0.0000  0.0000  0.2162 [4 per cell]  2 Si 2.31
Si  0.0000  0.5000  0.5000 [2 per cell]  4 Co 2.31
Au  0.0000  0.5000  0.0000 [2 per cell]  4 Si 2.61, 8 Co 2.75-2.79